A relaxed Ti4CdCu3O12 crystal. Source: Alexandria via LeMat-Bulk, functional PBE.

Results
D(E_F), states/eV per atom: 0.10
Calculated volume, Å³/atom: 10.4
Formation energy from raw total energies, eV/f.u.: -40.67

Unit cell a=7.460 b=7.460 c=7.460 alpha=90.00 beta=90.00 gamma=90.00
Space group Im-3 (No. 204)
Symmetry-distinct sites (fractional):
Ti 0.250 0.250 0.250 (multiplicity 8)
Cd 0.000 0.000 0.000 (multiplicity 2)
Cu 0.000 0.000 0.500 (multiplicity 6)
O 0.000 0.178 0.305 (multiplicity 24)